# 1
The following is a PBE calculation of a relaxed RbCuIrSe3 crystal, from OQMD via LeMat-Bulk.

Geometry as POSCAR:
```
RbCuIrSe3
1.0
13.213 0.000 0.000
0.000 3.812 0.000
0.000 0.000 11.597
Rb Cu Ir Se
4 4 4 12
Direct
0.159 0.250 0.024
0.341 0.750 0.524
0.659 0.250 0.476
0.841 0.750 0.976
0.215 0.750 0.265
0.285 0.250 0.765
0.715 0.750 0.235
0.785 0.250 0.735
0.035 0.750 0.634
0.465 0.250 0.134
0.535 0.750 0.866
0.965 0.250 0.366
0.039 0.750 0.245
0.102 0.250 0.514
0.181 0.750 0.775
0.319 0.250 0.275
0.398 0.750 0.014
0.461 0.250 0.745
0.539 0.750 0.255
0.602 0.250 0.986
0.681 0.750 0.725
0.819 0.250 0.225
0.898 0.750 0.486
0.961 0.250 0.755
```

Energy above the lowest structure with this stoichiometry: 51 meV per atom
Crystal system: orthorhombic
Raw total energy: -4.449 eV/atom

# 2
The following is a PBE calculation of a relaxed RbCuIrSe3 crystal, from OQMD via LeMat-Bulk.

Geometry as POSCAR:
```
RbCuIrSe3
1.0
8.507 0.000 0.000
0.000 3.913 0.000
-3.924 0.000 8.968
Rb Cu Ir Se
2 2 2 6
Direct
0.239 0.250 0.265
0.761 0.750 0.735
0.074 0.250 0.589
0.926 0.750 0.411
0.321 0.750 0.850
0.679 0.250 0.150
0.131 0.250 0.853
0.236 0.750 0.567
0.480 0.750 0.127
0.520 0.250 0.873
0.764 0.250 0.433
0.869 0.750 0.147
```

Energy above the lowest structure with this stoichiometry: 0 meV per atom
Crystal system: monoclinic
Raw total energy: -4.500 eV/atom

# 3
The following is a PBE calculation of a relaxed RbCuIrSe3 crystal, from OQMD via LeMat-Bulk.

Geometry as POSCAR:
```
RbCuIrSe3
1.0
8.624 0.000 0.000
0.000 3.906 0.000
0.000 0.000 16.181
Rb Cu Ir Se
4 4 4 12
Direct
0.059 0.250 0.150
0.441 0.750 0.650
0.559 0.250 0.350
0.941 0.750 0.850
0.059 0.250 0.686
0.441 0.750 0.186
0.559 0.250 0.814
0.941 0.750 0.314
0.162 0.750 0.444
0.338 0.250 0.944
0.662 0.750 0.056
0.838 0.250 0.556
0.033 0.750 0.583
0.189 0.750 0.996
0.232 0.750 0.291
0.268 0.250 0.791
0.311 0.250 0.496
0.467 0.250 0.083
0.533 0.750 0.917
0.689 0.750 0.504
0.732 0.750 0.209
0.768 0.250 0.709
0.811 0.250 0.004
0.967 0.250 0.417
```

Energy above the lowest structure with this stoichiometry: 158 meV per atom
Crystal system: orthorhombic
Raw total energy: -4.343 eV/atom

# 4
The following is a PBE calculation of a relaxed RbCuIrSe3 crystal, from OQMD via LeMat-Bulk.

Geometry as POSCAR:
```
RbCuIrSe3
1.0
1.914 -7.661 0.000
1.914 7.661 0.000
0.000 0.000 9.829
Rb Cu Ir Se
2 2 2 6
Direct
0.243 0.757 0.750
0.757 0.243 0.250
0.464 0.536 0.250
0.536 0.464 0.750
0.000 0.000 0.000
0.000 0.000 0.500
0.062 0.938 0.250
0.392 0.608 0.035
0.392 0.608 0.465
0.608 0.392 0.535
0.608 0.392 0.965
0.938 0.062 0.750
```

Energy above the lowest structure with this stoichiometry: 88 meV per atom
Crystal system: orthorhombic
Raw total energy: -4.413 eV/atom

# 5
The following is a PBE calculation of a relaxed RbCuIrSe3 crystal, from OQMD via LeMat-Bulk.

Geometry as POSCAR:
```
RbCuIrSe3
1.0
9.905 0.000 0.000
0.000 3.839 0.000
0.000 0.000 14.922
Rb Cu Ir Se
4 4 4 12
Direct
0.226 0.250 0.008
0.274 0.750 0.508
0.726 0.250 0.492
0.774 0.750 0.992
0.232 0.250 0.719
0.268 0.750 0.219
0.732 0.250 0.781
0.768 0.750 0.281
0.017 0.750 0.736
0.483 0.250 0.236
0.517 0.750 0.764
0.983 0.250 0.264
0.035 0.750 0.158
0.041 0.250 0.624
0.228 0.250 0.314
0.272 0.750 0.814
0.459 0.750 0.124
0.465 0.250 0.658
0.535 0.750 0.342
0.541 0.250 0.876
0.728 0.250 0.186
0.772 0.750 0.686
0.959 0.750 0.376
0.965 0.250 0.842
```

Energy above the lowest structure with this stoichiometry: 85 meV per atom
Crystal system: orthorhombic
Raw total energy: -4.415 eV/atom

# 6
The following is a PBE calculation of a relaxed RbCuIrSe3 crystal, from OQMD via LeMat-Bulk.

Geometry as POSCAR:
```
RbCuIrSe3
1.0
14.923 0.000 0.000
0.000 3.909 0.000
0.000 0.000 10.095
Rb Cu Ir Se
4 4 4 12
Direct
0.236 0.250 0.047
0.264 0.750 0.547
0.736 0.250 0.453
0.764 0.750 0.953
0.010 0.750 0.084
0.490 0.250 0.584
0.510 0.750 0.416
0.990 0.250 0.916
0.017 0.250 0.339
0.483 0.750 0.839
0.517 0.250 0.161
0.983 0.750 0.661
0.074 0.250 0.572
0.084 0.750 0.867
0.115 0.750 0.268
0.385 0.250 0.768
0.416 0.250 0.367
0.426 0.750 0.072
0.574 0.250 0.928
0.584 0.750 0.633
0.615 0.750 0.232
0.885 0.250 0.732
0.916 0.250 0.133
0.926 0.750 0.428
```

Energy above the lowest structure with this stoichiometry: 0 meV per atom
Crystal system: orthorhombic
Raw total energy: -4.500 eV/atom

# 7
The following is a PBE calculation of a relaxed RbCuIrSe3 crystal, from OQMD via LeMat-Bulk.

Geometry as POSCAR:
```
RbCuIrSe3
1.0
8.531 -1.967 0.000
8.531 1.967 0.000
-0.507 0.000 8.331
Rb Cu Ir Se
2 2 2 6
Direct
0.148 0.148 0.089
0.852 0.852 0.911
0.483 0.483 0.291
0.517 0.517 0.709
0.166 0.166 0.581
0.834 0.834 0.419
0.000 0.000 0.500
0.313 0.313 0.601
0.345 0.345 0.234
0.500 0.500 0.000
0.655 0.655 0.766
0.687 0.687 0.399
```

Energy above the lowest structure with this stoichiometry: 153 meV per atom
Crystal system: monoclinic
Raw total energy: -4.347 eV/atom

# 8
The following is a PBE calculation of a relaxed RbCuIrSe3 crystal, from OQMD via LeMat-Bulk.

Geometry as POSCAR:
```
RbCuIrSe3
1.0
12.981 0.000 0.000
0.000 3.841 0.000
0.000 0.000 11.624
Rb Cu Ir Se
4 4 4 12
Direct
0.158 0.250 0.037
0.342 0.750 0.537
0.658 0.250 0.463
0.842 0.750 0.963
0.222 0.750 0.278
0.278 0.250 0.778
0.722 0.750 0.222
0.778 0.250 0.722
0.034 0.750 0.633
0.466 0.250 0.133
0.534 0.750 0.867
0.966 0.250 0.367
0.043 0.750 0.252
0.104 0.250 0.517
0.174 0.750 0.784
0.326 0.250 0.284
0.396 0.750 0.017
0.457 0.250 0.752
0.543 0.750 0.248
0.604 0.250 0.983
0.674 0.750 0.716
0.826 0.250 0.216
0.896 0.750 0.483
0.957 0.250 0.748
```

Energy above the lowest structure with this stoichiometry: 52 meV per atom
Crystal system: orthorhombic
Raw total energy: -4.448 eV/atom

Q: raw total energy of number 1 (RbCuIrSe3)?
A: -4.449 eV/atom

Q: What is the energy above the lowest structure with this stoichiometry in the fifth record?
A: 85 meV per atom

Q: energy above the lowest structure with this stoichiometry of number 8 (RbCuIrSe3)?
A: 52 meV per atom